# SrCoCuF6 PBE+U optimized geometry
data_SrCoCuF6
_chemical_formula_sum 'Sr1 Co1 Cu1 F6'
_cell_length_a 5.222
_cell_length_b 5.396
_cell_length_c 5.396
_cell_angle_alpha 120.00
_cell_angle_beta 90.00
_cell_angle_gamma 90.00
_space_group_name_H-M_alt 'P 1'
_space_group_IT_number 1
loop_
_space_group_symop_operation_xyz
'x,y,z'
loop_
_atom_site_label
_atom_site_type_symbol
_atom_site_fract_x
_atom_site_fract_y
_atom_site_fract_z
_atom_site_occupancy
Co1 Co 0.500 0.667 0.333 1
F1 F 0.286 0.334 0.306 1
F2 F 0.714 0.972 0.306 1
F3 F 0.286 0.972 0.666 1
F4 F 0.714 0.694 0.666 1
F5 F 0.286 0.694 0.028 1
F6 F 0.714 0.334 0.028 1
Cu1 Cu 0.500 0.000 0.000 1
Sr1 Sr 0.000 0.333 0.667 1
# VASP energy in eV for the cell shown: -44.69
# SG: P312